Compound: KMn2Ir
Source: Alexandria
Functional: PBE
Structure: optimized geometry

Computed properties:
The crystal system is cubic. The calculated formation energy is 1453.8 meV per atom. The volume comes out at 238.2 Å³/cell.

a b c (Å): 6.1992 6.1992 6.1992
angles (deg): 90.00 90.00 90.00
Last column: nearest neighbours and their distance in Å.
Space group Fm-3m (No. 225)
One atom of each set of equivalent atoms:
K1 0.0000 0.0000 0.0000 (multiplicity 4)  8 Mn 2.68
Mn1 0.2500 0.2500 0.2500 (multiplicity 8)  4 K 2.68, 4 Ir 2.68
Ir1 0.0000 0.0000 0.5000 (multiplicity 4)  8 Mn 2.68


Compound: TiV2H2
Source: Alexandria
Functional: PBE
Structure: optimized geometry

Computed properties:
The crystal system is triclinic. The volume comes out at 95.2 Å³/cell.

a b c (Å): 4.6089 4.9421 5.2665
angles (deg): 101.56 110.34 113.13
Last column: nearest neighbours and their distance in Å.
Space group P-1 (No. 2)
One atom of each set of equivalent atoms:
Ti1 0.1160 0.4237 0.2670 (multiplicity 2)  2 H 1.89-2.10
V1 0.2507 0.2487 0.7505 (multiplicity 2)  2 H 1.78-1.80
V2 0.4007 0.0698 0.2339 (multiplicity 2)  3 H 1.82-1.90
H1 0.2157 0.8865 0.4654 (multiplicity 2)  4 V 1.80-2.00
H2 0.3702 0.6994 0.9507 (multiplicity 2)  2 V 1.78-1.89, 1 Ti 1.89


Compound: Sc2CoC
Source: Alexandria
Functional: PBE
Structure: optimized geometry

Computed properties:
The crystal system is tetragonal. The calculated formation energy is 233.0 meV per atom. The volume comes out at 253.7 Å³/cell.

a b c (Å): 6.3847 6.3847 6.2239
angles (deg): 90.00 90.00 90.00
Last column: nearest neighbours and their distance in Å.
Space group I-42d (No. 122)
One atom of each set of equivalent atoms:
Sc1 0.1972 0.2500 0.1250 (multiplicity 8)  2 C 2.18
Co1 0.0000 0.0000 0.5000 (multiplicity 4)  4 Sc 2.62
C1 0.0000 0.0000 0.0000 (multiplicity 4)  4 Sc 2.18


Compound: Te2MoHIr
Source: Alexandria
Functional: PBE
Structure: optimized geometry

Computed properties:
The crystal system is tetragonal. The volume comes out at 80.3 Å³/cell.

a b c (Å): 4.7677 4.7677 3.5337
angles (deg): 90.00 90.00 90.00
Last column: nearest neighbours and their distance in Å.
Space group P4/mmm (No. 123)
One atom of each set of equivalent atoms:
Te1 0.0000 0.5000 0.0000 (multiplicity 2)  2 H 2.38
Mo1 0.0000 0.0000 0.5000 (multiplicity 1)  8 Te 2.97
H1 0.5000 0.5000 0.0000 (multiplicity 1)  2 Ir 1.77
Ir1 0.5000 0.5000 0.5000 (multiplicity 1)  2 H 1.77


Compound: Pm3ZrPt3
Source: Alexandria
Functional: PBE
Structure: optimized geometry

Computed properties:
The crystal system is monoclinic. The calculated formation energy is -868.2 meV per atom. The volume comes out at 706.3 Å³/cell.

a b c (Å): 9.6880 10.2678 7.1013
angles (deg): 90.00 91.14 90.00
Last column: nearest neighbours and their distance in Å.
Space group C2/m (No. 12)
One atom of each set of equivalent atoms:
Pm1 0.0000 0.1777 0.0000 (multiplicity 4)  6 Pt 2.92-3.00
Pm2 0.0000 0.2709 0.5000 (multiplicity 4)  4 Pt 3.01-3.14
Pm3 0.1723 0.5000 0.0988 (multiplicity 4)  5 Pt 2.96-3.20
Zr1 0.2263 0.0000 0.3894 (multiplicity 4)  4 Pt 2.62-2.83
Pt1 0.0607 0.0000 0.6906 (multiplicity 4)  2 Zr 2.70-2.83, 3 Pm 2.92-2.96, 1 Pt 2.93
Pt2 0.2314 0.2808 0.7897 (multiplicity 8)  1 Zr 2.62, 1 Pm 2.92


Compound: MgAl2Pd4
Source: Alexandria
Functional: PBE
Structure: optimized geometry

Computed properties:
The crystal system is tetragonal. The calculated formation energy is -690.7 meV per atom. The volume comes out at 223.5 Å³/cell.

a b c (Å): 6.1797 6.1797 5.8533
angles (deg): 90.00 90.00 90.00
Last column: nearest neighbours and their distance in Å.
Space group I4/mmm (No. 139)
One atom of each set of equivalent atoms:
Mg1 0.0000 0.0000 0.0000 (multiplicity 2)  8 Pd 2.63
Al1 0.0000 0.5000 0.0000 (multiplicity 4)  8 Pd 2.63, 2 Al 2.93
Pd1 0.2500 0.2500 0.2500 (multiplicity 8)  2 Mg 2.63, 4 Al 2.63, 2 Pd 2.93


Compound: Ba3HfAg
Source: Alexandria
Functional: PBE
Structure: optimized geometry

Computed properties:
The crystal system is cubic. The calculated formation energy is 705.7 meV per atom. The volume comes out at 249.2 Å³/cell.

a b c (Å): 6.2932 6.2932 6.2932
angles (deg): 90.00 90.00 90.00
Last column: nearest neighbours and their distance in Å.
Space group Pm-3m (No. 221)
One atom of each set of equivalent atoms:
Ba1 0.0000 0.0000 0.5000 (multiplicity 3)  2 Ag 3.15
Hf1 0.5000 0.5000 0.5000 (multiplicity 1)  12 Ba 4.45
Ag1 0.0000 0.0000 0.0000 (multiplicity 1)  6 Ba 3.15


VASP energy list, top to bottom, in eV/cell: -89.930; -67.442; -112.243; -26.794; -188.000; -69.372; -15.044